Record 1
This record from the Alexandria database describes crystalline La4NdY3 at its relaxed geometry. The functional is PBE.

- calculated total energy (eV/atom) = -5.4616
- polymorph energy (0 for the lowest one) (meV/atom) = 0
- formation energy from the elements (eV/atom) = 0.022

CIF file:
```
data_La4NdY3
_symmetry_space_group_name_H-M 'P m m n'
_symmetry_Int_Tables_number 59
_cell_length_a 5.1972
_cell_length_b 10.3904
_cell_length_c 10.3558
_cell_angle_alpha 90.00
_cell_angle_beta 90.00
_cell_angle_gamma 90.00
loop_
_symmetry_equiv_pos_as_xyz
'x,y,z'
'-x,-y,-z'
'-x+1/2,-y+1/2,z'
'x+1/2,y+1/2,-z'
'x+1/2,-y,-z'
'-x+1/2,y,z'
'-x,y+1/2,-z'
'x,-y+1/2,z'
loop_
_atom_site_label
_atom_site_type_symbol
_atom_site_fract_x
_atom_site_fract_y
_atom_site_fract_z
La1 La 0.2500 0.0006 0.1254
La2 La 0.2500 0.2500 0.8737
La3 La 0.2500 0.7500 0.8738
Nd1 Nd 0.2500 0.2500 0.3810
Y1 Y 0.2500 0.9999 0.6189
Y2 Y 0.2500 0.7500 0.3801
```

---

Record 2
This record from the Alexandria database describes crystalline AcHfSe2 at its relaxed geometry. The functional is PBE.

- energy relative to the elements, uncorrected (eV per atom) = -1.0193
- calculated total energy (eV/atom) = -6.2770

CIF file:
```
data_AcHfSe2
_symmetry_space_group_name_H-M 'R -3 m'
_symmetry_Int_Tables_number 166
_symmetry_space_group_name_Hall '-R 3 2"'
_cell_length_a 3.8338
_cell_length_b 3.8338
_cell_length_c 28.1827
_cell_angle_alpha 90.00
_cell_angle_beta 90.00
_cell_angle_gamma 120.00
loop_
_atom_site_label
_atom_site_type_symbol
_atom_site_fract_x
_atom_site_fract_y
_atom_site_fract_z
Ac1 Ac 0.0000 0.0000 0.0000
Hf1 Hf 0.0000 0.0000 0.5000
Se1 Se 0.0000 0.0000 0.1107
```